17
Lattice="5.282 -3.002 0.005 5.282 3.002 0.005 3.572 0.000 4.915" Properties=species:S:1:pos:R:3 comment="PBE with a Hubbard U Li5Cr3FeO8, optimized geometry" spacegroup=R-3m energy_ev_per_atom=-6.368 total_magnetization_mub_per_atom=0.763 polymorph_energy_ev_per_fu=0.00 pbc="T T T"
O 5.263 0.000 3.582
O 6.078 1.430 1.243
O 6.078 -1.430 1.243
O 3.649 0.000 1.271
O 8.058 -1.430 3.682
O 8.873 0.000 1.342
O 10.488 0.000 3.653
O 8.058 1.430 3.682
Cr 4.427 1.501 2.460
Cr 5.282 0.000 0.005
Cr 4.427 -1.501 2.460
Fe 7.068 0.000 2.462
Li 13.201 0.000 4.599
Li 0.935 0.000 0.326
Li 1.786 0.000 2.458
Li 2.641 -1.501 0.002
Li 2.641 1.501 0.002